22
Lattice="3.739 6.506 -0.072 -3.739 6.506 -0.072 0.000 4.131 5.986" Properties=species:S:1:pos:R:3 comment="GGA+U NaV3F7, optimized geometry" total_energy_ev_per_atom=-5.969 pbc="T T T"
Na 0.000 6.506 -0.072
Na 0.000 8.571 2.921
V -1.870 5.318 2.957
V 1.870 3.253 -0.036
V 0.000 2.066 2.993
V 0.000 0.000 0.000
V 1.870 5.318 2.957
V -1.870 3.253 -0.036
F 2.923 7.538 1.425
F -2.923 9.604 4.418
F 0.021 8.939 0.458
F 0.021 6.138 2.391
F -0.021 8.203 5.384
F -0.021 11.005 3.451
F -2.239 5.333 0.865
F -2.239 9.743 1.984
F -2.239 11.928 5.151
F -2.239 7.280 3.684
F 2.239 5.214 0.691
F 2.239 9.863 2.158
F 2.239 7.399 3.858
F 2.239 11.809 4.977



80
Lattice="11.813 0.000 0.000 -3.938 11.138 0.000 -3.938 -5.569 9.646" Properties=species:S:1:pos:R:3 comment="GGA+U Na3V5F12, optimized geometry" total_energy_ev_per_atom=-5.576 pbc="T T T"
Na 6.891 3.481 1.206
Na 6.891 7.657 1.206
Na -0.984 4.873 6.028
Na 0.984 -0.696 3.617
Na 8.860 0.000 2.411
Na 0.984 5.569 2.411
Na 2.953 0.000 7.234
Na -4.922 5.569 7.234
Na 2.953 6.265 6.028
Na 4.922 0.696 3.617
Na -2.953 -2.088 8.440
Na -2.953 2.088 8.440
V -0.984 2.784 2.411
V -1.969 5.569 0.000
V 0.000 0.000 0.000
V 2.953 2.088 1.206
V 3.938 -2.784 4.823
V 3.938 5.569 0.000
V -2.953 6.265 3.617
V 4.922 -3.481 8.440
V 4.922 4.873 3.617
V 0.984 -2.784 7.234
V 2.953 8.353 2.411
V 1.969 2.784 4.823
V 5.907 0.000 0.000
V -1.969 -2.784 4.823
V -0.984 0.696 6.028
V -0.984 9.049 1.206
V -3.938 2.784 4.823
V 6.891 -0.696 6.028
V 0.984 3.481 8.440
V 4.922 2.784 7.234
F 7.414 1.505 0.128
F 0.461 3.648 3.583
F 8.983 2.204 3.093
F 4.799 1.208 1.368
F 1.052 3.857 6.424
F 8.527 6.075 1.601
F -1.107 6.565 4.461
F -2.830 9.930 1.368
F 0.917 7.280 6.424
F 5.255 5.062 1.601
F 6.368 3.426 3.455
F 6.368 9.632 0.128
F -3.021 4.708 4.951
F 2.621 3.929 0.362
F -4.399 7.712 3.455
F 2.430 -1.921 6.062
F -0.917 0.850 1.730
F 2.621 6.702 1.239
F 4.799 8.934 3.093
F -0.652 4.435 1.239
F -2.886 6.419 7.916
F 3.076 4.573 4.461
F 4.990 6.430 4.951
F 4.590 -1.640 9.284
F 0.862 0.996 5.185
F -1.052 -0.861 4.694
F -0.652 7.209 0.362
F -0.862 -3.365 6.553
F 6.823 -0.850 1.730
F 4.590 1.134 8.406
F 1.317 -1.134 8.406
F 1.508 7.489 3.583
F 4.854 4.718 7.916
F 8.337 -2.143 6.191
F 6.959 0.861 4.694
F -2.430 -4.064 9.517
F 1.317 1.640 9.284
F 3.021 -1.712 3.221
F -1.317 0.507 8.044
F -2.430 2.143 6.191
F 6.768 -4.361 8.278
F 5.045 -0.996 5.185
F -0.862 4.361 8.278
F -4.590 -0.507 8.044
F 2.886 1.712 3.221
F -5.045 3.365 6.553
F 3.477 1.921 6.062
F -3.477 4.064 9.517



7
Lattice="-1.188 0.565 3.921 -0.049 -4.096 0.576 5.142 -1.593 3.968" Properties=species:S:1:pos:R:3 comment="GGA+U Na2VF4, optimized geometry" de_polymorph_kj_per_mol_atoms=7.5 pbc="T T T"
Na 1.063 -1.715 2.750
Na 2.842 -3.408 5.715
F 3.142 -1.653 3.371
F 0.762 -3.470 5.094
F -0.025 -2.048 0.288
F -0.594 0.283 1.961
V 0.000 0.000 0.000



4
Lattice="4.253 -2.645 1.146 3.041 1.561 3.835 0.241 -2.715 4.355" Properties=species:S:1:pos:R:3 comment="GGA+U Na2VF, optimized geometry" de_polymorph_kj_per_mol_atoms=52.0 pbc="T T T"
Na 1.884 -0.950 2.334
Na 5.651 -2.849 7.002
V 3.767 -1.899 4.668
F 0.000 0.000 0.000



Record-wise theoretical density values, in g/cm³: 3.49, 2.89, 2.79, 2.01